# 1
Crystalline TlH2I2 at its relaxed geometry. Source: the Alexandria database, functional GGA-PBE.

Results
As for the total energy: -22.19 eV per cell.

Cell: 10.045 5.826 5.977 Å, 90.00 119.65 90.00°
Space group C2/m (No. 12)
Asymmetric unit:
Tl: 0.000 0.000 0.000 x2
H: 0.081 0.500 0.267 x4
I: 0.249 0.500 0.251 x4

***

# 2
Crystalline Ga2RhAu at its relaxed geometry. Source: the Alexandria database, functional GGA-PBE.

Results
The formation energy comes out at -0.340 eV/atom. For the offset from the most stable computed form, the calculation gives 0 meV per atom.

Cell: 3.064 3.064 6.705 Å, 90.00 90.00 90.00°
Space group P4/mmm (No. 123)
Asymmetric unit:
Ga: 0.000 0.000 0.225 x2
Rh: 0.500 0.500 0.000 x1
Au: 0.500 0.500 0.500 x1

***

Sequential volume output: 30.398; 15.734 A^3/atom